# 1
Material: UTiNbOs
Method: DFT, GGA-PBE
State: optimized geometry

The structure in POSCAR format:
```
UTiNbOs
1.0
4.602 0.000 0.000
2.301 3.985 0.000
2.301 1.328 3.758
Nb Ti Os U
1 1 1 1
Direct
0.750 0.750 0.750 Nb
0.250 0.250 0.250 Ti
0.500 0.500 0.500 Os
0.000 0.000 0.000 U
```

Crystal system ... cubic
Density ... 13.7 g/cm³
SG ... F-43m
Formation energy ... 0.018 eV/atom
DFT total energy ... -40.41 eV per cell

# 2
Material: InAg3O
Method: DFT, GGA-PBE
State: optimized geometry

The structure in POSCAR format:
```
InAg3O
1.0
-0.427 -4.409 -2.740
4.737 0.793 -2.015
2.123 -2.657 3.945
Ag O In
3 1 1
Direct
0.500 0.000 0.000 Ag
0.000 0.500 0.000 Ag
0.000 0.000 0.500 Ag
0.500 0.500 0.500 O
0.000 0.000 0.000 In
```

Crystal system ... cubic
Density ... 5.3 g/cm³
SG ... Pm-3m
E above lowest polymorph ... 1.0797 eV/atom
DFT total energy ... -10.60 eV per cell

# 3
Material: Li4Zn3Rh2
Method: DFT, GGA-PBE
State: optimized geometry

The structure in POSCAR format:
```
Li4Zn3Rh2
1.0
3.186 0.000 0.682
1.400 4.529 1.243
-0.158 0.017 8.524
Li Zn Rh
4 3 2
Direct
0.999 0.668 0.333 Li
0.001 0.332 0.667 Li
0.331 0.453 0.885 Li
0.669 0.547 0.115 Li
0.000 0.000 0.000 Zn
0.671 0.218 0.441 Zn
0.329 0.782 0.559 Zn
0.339 0.101 0.221 Rh
0.661 0.899 0.779 Rh
```

Crystal system ... monoclinic
Density ... 5.8 g/cm³
SG ... C2/m
Formation energy ... -0.286 eV/atom
DFT total energy ... -28.75 eV per cell

# 4
Material: Mg4Te
Method: DFT, GGA-PBE
State: optimized geometry

The structure in POSCAR format:
```
Mg4Te
1.0
-3.378 3.378 3.378
3.378 -3.378 3.378
3.378 3.378 -3.378
Te Mg
1 4
Direct
0.000 0.000 0.000 Te
0.500 0.000 0.000 Mg
0.500 0.500 0.500 Mg
0.000 0.000 0.500 Mg
0.000 0.500 0.000 Mg
```

Crystal system ... cubic
Density ... 2.4 g/cm³
SG ... Im-3m
E above lowest polymorph ... 0.2101 eV/atom
DFT total energy ... -8.54 eV per cell

# 5
Material: CaFe3Te
Method: DFT, GGA-PBE
State: optimized geometry

The structure in POSCAR format:
```
CaFe3Te
1.0
4.767 0.000 0.000
0.000 4.767 0.000
0.000 0.000 4.767
Ca Fe Te
1 3 1
Direct
0.500 0.500 0.500 Ca
0.000 0.000 0.500 Fe
0.500 0.000 0.000 Fe
0.000 0.500 0.000 Fe
0.000 0.000 0.000 Te
```

Crystal system ... cubic
Density ... 5.1 g/cm³
SG ... Pm-3m
E above lowest polymorph ... 0.0000 eV/atom
DFT total energy ... -26.98 eV per cell

# 6
Material: Hf2Nb2Fe
Method: DFT, GGA-PBE
State: optimized geometry

The structure in POSCAR format:
```
Hf2Nb2Fe
1.0
6.403 0.000 0.000
0.000 6.403 0.000
0.000 0.000 4.685
Nb Hf Fe
4 4 2
Direct
0.347 0.847 0.000 Nb
0.153 0.347 0.000 Nb
0.653 0.153 0.000 Nb
0.847 0.653 0.000 Nb
0.336 0.164 0.500 Hf
0.164 0.664 0.500 Hf
0.664 0.836 0.500 Hf
0.836 0.336 0.500 Hf
0.000 0.000 0.000 Fe
0.500 0.500 0.000 Fe
```

Crystal system ... tetragonal
Density ... 10.4 g/cm³
SG ... P4/mbm
Formation energy ... 0.187 eV/atom
DFT total energy ... -95.14 eV per cell

# 7
Material: Ac5TbPr4
Method: DFT, GGA-PBE
State: optimized geometry

The structure in POSCAR format:
```
Ac5TbPr4
1.0
-0.213 -3.223 -2.186
-1.421 -1.974 3.049
-24.407 6.480 -7.178
Pr Ac Tb
4 5 1
Direct
0.000 0.000 0.804 Pr
0.000 0.000 0.601 Pr
0.000 0.000 0.399 Pr
0.000 0.000 0.196 Pr
0.500 0.500 0.096 Ac
0.500 0.500 0.500 Ac
0.500 0.500 0.904 Ac
0.500 0.500 0.298 Ac
0.500 0.500 0.702 Ac
0.000 0.000 0.000 Tb
```

Crystal system ... tetragonal
Density ... 7.7 g/cm³
SG ... P4/mmm
Formation energy ... 0.029 eV/atom
DFT total energy ... -44.00 eV per cell

# 8
Material: TbTmBiTe
Method: DFT, GGA-PBE
State: optimized geometry

The structure in POSCAR format:
```
TbTmBiTe
1.0
4.403 0.000 0.000
0.000 4.398 0.259
0.000 -0.370 6.203
Bi Tb Te Tm
1 1 1 1
Direct
0.500 0.392 0.593 Bi
0.000 0.892 0.591 Tb
0.000 0.891 0.092 Te
0.500 0.391 0.093 Tm
```

Crystal system ... tetragonal
Density ... 9.2 g/cm³
SG ... P4mm
DFT total energy ... -20.32 eV per cell

# 9
Material: KNdP2O6
Method: DFT, GGA-PBE
State: optimized geometry

The structure in POSCAR format:
```
KNdP2O6
1.0
-4.262 4.461 3.187
3.521 -4.023 4.431
6.937 5.476 -6.046
O P K Nd
12 4 2 2
Direct
0.256 0.216 0.735 O
0.449 0.974 0.769 O
0.388 0.202 0.981 O
0.026 0.551 0.731 O
0.974 0.449 0.269 O
0.216 0.256 0.235 O
0.784 0.744 0.765 O
0.202 0.388 0.481 O
0.798 0.612 0.519 O
0.744 0.784 0.265 O
0.612 0.798 0.019 O
0.551 0.026 0.231 O
0.708 0.936 0.194 P
0.292 0.064 0.806 P
0.936 0.708 0.694 P
0.064 0.292 0.306 P
0.162 0.838 0.250 K
0.838 0.162 0.750 K
0.402 0.598 0.750 Nd
0.598 0.402 0.250 Nd
```

Crystal system ... monoclinic
Density ... 3.0 g/cm³
SG ... C2/c
DFT total energy ... -143.54 eV per cell

# 10
Material: Ba3P2Au4
Method: DFT, GGA-PBE
State: optimized geometry

The structure in POSCAR format:
```
Ba3P2Au4
1.0
4.543 0.000 0.000
-2.271 5.867 -1.393
0.000 0.148 9.217
Au P Ba
4 2 3
Direct
0.716 0.431 0.071 Au
0.059 0.119 0.378 Au
0.284 0.569 0.929 Au
0.941 0.881 0.622 Au
0.607 0.215 0.283 P
0.393 0.785 0.717 P
0.000 0.000 0.000 Ba
0.665 0.329 0.662 Ba
0.335 0.671 0.338 Ba
```

Crystal system ... monoclinic
Density ... 8.5 g/cm³
SG ... C2/m
Formation energy ... -0.802 eV/atom
DFT total energy ... -36.92 eV per cell

# 11
Material: LaYRe2
Method: DFT, GGA-PBE
State: optimized geometry

The structure in POSCAR format:
```
LaYRe2
1.0
6.199 0.020 0.037
5.259 3.283 0.037
2.065 0.595 4.634
Re Y La
2 1 1
Direct
0.043 0.043 0.956 Re
0.705 0.705 0.795 Re
0.482 0.482 0.518 Y
0.269 0.269 0.231 La
```

Crystal system ... monoclinic
Density ... 10.7 g/cm³
SG ... Cm
E above lowest polymorph ... 0.1716 eV/atom
Formation energy ... 0.268 eV/atom
DFT total energy ... -35.21 eV per cell

# 12
Material: ZnCrFe
Method: DFT, GGA-PBE
State: optimized geometry

The structure in POSCAR format:
```
ZnCrFe
1.0
5.025 -0.014 0.000
3.490 3.615 0.000
-4.257 -1.801 1.970
Fe Cr Zn
1 1 1
Direct
0.348 0.348 0.000 Fe
0.982 0.982 0.000 Cr
0.670 0.670 0.000 Zn
```

Crystal system ... tetragonal
Density ... 8.0 g/cm³
SG ... I4mm
E above lowest polymorph ... 0.0000 eV/atom
Formation energy ... 0.118 eV/atom
DFT total energy ... -19.01 eV per cell

Number 1: total magnetization 0.65 μB/f.u.. Number 2: total magnetization 0.00 μB/f.u.. Number 3: total magnetization 0.00 μB/f.u.. Number 4: total magnetization 0.00 μB/f.u.. Number 5: total magnetization 6.22 μB/f.u.. Number 6: total magnetization 0.00 μB/f.u.. Number 7: total magnetization 0.00 μB/f.u.. Number 8: total magnetization 0.00 μB/f.u.. Number 9: total magnetization 0.00 μB/f.u.. Number 10: total magnetization 0.00 μB/f.u.. Number 11: total magnetization 0.00 μB/f.u.. Number 12: total magnetization 0.00 μB/f.u..